Entry P
Computed, not measured: a relaxed Ba2ZnO3 crystal at the PBE level of DFT.

Its total moment is 0.00 μB/cell. The value obtained for the volume is 19.40 Å³ per atom.

The space group is C2/c (No. 15) and the conventional cell measures 10.977, 6.676 and 6.946 Å, with angles of 90.00, 113.84 and 90.00 degrees. The asymmetric unit holds Ba at (0.163, 0.162, 0.192), Zn at (0.000, 0.398, 0.750), O at (0.000, 0.104, 0.750) and O at (0.162, 0.482, 0.441).

Entry Q
Computed, not measured: a relaxed Ba2ZnO3 crystal at the PBE level of DFT.

Its total moment is 0.00 μB/cell. The value obtained for the volume is 18.23 Å³ per atom.

The space group is C2/c (No. 15) and the conventional cell measures 5.957, 11.562 and 12.722 Å, with angles of 90.00, 93.23 and 90.00 degrees. The asymmetric unit holds Ba at (0.235, 0.205, 0.348), Ba at (0.239, 0.104, 0.925), Zn at (0.229, 0.498, 0.836), O at (0.000, 0.007, 0.250), O at (0.000, 0.407, 0.250), O at (0.180, 0.329, 0.868) and O at (0.225, 0.099, 0.535).

On energetic grounds, entry Q is preferred over the next structure by 0.029 eV/atom.